Record 1
CaMg4Zn | PBEsol | relaxed

Lattice parameters (Å, degrees): 8.9942 3.9525 7.9354 90.00 90.00 90.00
Last column: nearest neighbours and their distance in Å.
Space group Pmma (No. 51)
Inequivalent atoms, fractional coordinates:
Ca 0.2500 0.0000 0.0969  1 Zn 3.13, 10 Mg 3.39-3.49
Mg 0.0000 0.0000 0.5000  2 Zn 2.76, 4 Mg 3.03
Mg 0.0559 0.5000 0.8084  2 Zn 2.77
Mg 0.2500 0.5000 0.4443  2 Zn 2.84, 4 Mg 3.03
Zn 0.2500 0.0000 0.7019  8 Mg 2.76-2.84

---

Record 2
CaMgZn2 | PBEsol | relaxed

Lattice parameters (Å, degrees): 4.3139 3.5574 11.0898 90.00 90.00 90.00
Last column: nearest neighbours and their distance in Å.
Space group Amm2 (No. 38)
Inequivalent atoms, fractional coordinates:
Ca 0.0000 0.0000 0.0000  7 Zn 3.02-3.07
Mg 0.5000 0.0000 0.3083  6 Zn 2.89-2.94
Zn 0.0000 0.0000 0.7262  2 Zn 2.55
Zn 0.5000 0.0000 0.6033  2 Zn 2.55

---

Record 3
CaMg3Zr | PBEsol | relaxed

Lattice parameters (Å, degrees): 5.1617 5.1617 5.1617 90.00 90.00 90.00
Last column: nearest neighbours and their distance in Å.
Space group Pm-3m (No. 221)
Inequivalent atoms, fractional coordinates:
Ca 0.0000 0.0000 0.0000  6 Mg 2.58
Mg 0.0000 0.0000 0.5000  2 Ca 2.58
Zr 0.5000 0.5000 0.5000  12 Mg 3.65

---

Record 4
CaMn2 | PBEsol | relaxed

Lattice parameters (Å, degrees): 3.7836 16.2421 3.9176 90.00 90.00 90.00
Last column: nearest neighbours and their distance in Å.
Space group Cmcm (No. 63)
Inequivalent atoms, fractional coordinates:
Ca 0.0000 0.1006 0.2500  8 Mn 3.05-3.13
Mn 0.0000 0.2508 0.7500  4 Mn 2.17-2.21
Mn 0.0000 0.3143 0.2500  4 Mn 2.17-2.21

---

Record 5
CaMn28 | PBEsol | relaxed

Lattice parameters (Å, degrees): 8.5895 8.5895 8.5895 90.00 90.00 90.00
Last column: nearest neighbours and their distance in Å.
Space group I-43m (No. 217)
Inequivalent atoms, fractional coordinates:
Ca 0.0000 0.0000 0.0000  16 Mn 2.72-2.78
Mn 0.0351 0.3567 0.6433  4 Mn 2.20-2.45
Mn 0.0899 0.0899 0.7102  6 Mn 2.18-2.43
Mn 0.1869 0.1869 0.1869  12 Mn 2.45-2.72

---

Record 6
CaMn | PBEsol | relaxed

Lattice parameters (Å, degrees): 7.1491 7.1491 7.1491 90.00 90.00 90.00
Last column: nearest neighbours and their distance in Å.
Space group Fd-3m (No. 227, origin choice 2)
Inequivalent atoms, fractional coordinates:
Ca 0.1250 0.1250 0.1250  4 Mn 3.10, 4 Ca 3.10
Mn 0.1250 0.1250 0.6250  4 Mn 3.10, 4 Ca 3.10

---

Number 1: electronic total energy -1.8621 eV/atom. Number 2: electronic total energy -1.9117 eV/atom. Number 3: electronic total energy -2.0553 eV/atom. Number 4: electronic total energy -6.8461 eV/atom. Number 5: electronic total energy -9.3983 eV/atom. Number 6: electronic total energy -5.1905 eV/atom.